Material: Pr5Sm5Ho2
Method: DFT, PBE
State: optimized geometry

Formation energy   0.204 eV per formula unit
Calculated volume   34.35 Å³/atom

Cell: 5.1564 8.1617 10.9492 Å, 72.63 76.38 71.59°
Last column: nearest neighbours and their distance in Å.
Sites, in units of the cell vectors:
Pr 0.8354 0.8302 0.4991  5 Sm 3.63-3.70, 2 Ho 3.63-3.65, 5 Pr 3.66-3.69
Pr 0.2515 0.7469 0.7501  6 Sm 3.63-3.68, 2 Ho 3.64, 4 Pr 3.66-3.68
Pr 0.7485 0.2531 0.2499  6 Sm 3.63-3.68, 2 Ho 3.64, 4 Pr 3.66-3.68
Pr 0.1646 0.1698 0.5009  5 Sm 3.63-3.70, 2 Ho 3.63-3.65, 5 Pr 3.66-3.69
Pr 0.0000 0.0000 0.0000  2 Ho 3.63, 8 Sm 3.64-3.65, 2 Pr 3.67
Sm 0.5000 0.5000 0.5000  6 Pr 3.63-3.64, 2 Sm 3.64, 4 Ho 3.66
Sm 0.3328 0.3343 0.0002  5 Pr 3.63-3.65, 4 Sm 3.63-3.66, 3 Ho 3.64
Sm 0.4185 0.9140 0.2490  2 Ho 3.63, 3 Sm 3.63-3.66, 7 Pr 3.64-3.70
Sm 0.5815 0.0860 0.7510  2 Ho 3.63, 3 Sm 3.63-3.66, 7 Pr 3.64-3.70
Sm 0.6672 0.6657 0.9998  5 Pr 3.63-3.65, 4 Sm 3.63-3.66, 3 Ho 3.64
Ho 0.9165 0.4153 0.7518  7 Sm 3.63-3.66, 5 Pr 3.63-3.65
Ho 0.0835 0.5847 0.2482  7 Sm 3.63-3.66, 5 Pr 3.63-3.65

---

Material: Pr6SmHo5
Method: DFT, PBE
State: optimized geometry

Formation energy   0.201 eV per formula unit
Calculated volume   33.73 Å³/atom

Cell: 5.1667 10.1480 9.5924 Å, 121.94 105.63 89.99°
Last column: nearest neighbours and their distance in Å.
Sites, in units of the cell vectors:
Pr 0.8332 0.5824 0.6664  7 Ho 3.60-3.63, 1 Sm 3.62, 4 Pr 3.64-3.65
Pr 0.8332 0.0840 0.6664  7 Ho 3.60-3.63, 1 Sm 3.62, 4 Pr 3.64-3.65
Pr 0.5000 0.7487 0.0000  6 Ho 3.61-3.63, 2 Sm 3.63, 4 Pr 3.65
Pr 0.5000 0.2513 0.0000  6 Ho 3.61-3.63, 2 Sm 3.63, 4 Pr 3.65
Pr 0.1668 0.9160 0.3336  7 Ho 3.60-3.63, 1 Sm 3.62, 4 Pr 3.64-3.65
Pr 0.1668 0.4176 0.3336  7 Ho 3.60-3.63, 1 Sm 3.62, 4 Pr 3.64-3.65
Ho 0.6674 0.1673 0.3347  8 Pr 3.60-3.63, 2 Ho 3.64, 2 Sm 3.65
Ho 0.3333 0.3333 0.6665  8 Pr 3.61-3.62, 4 Ho 3.64-3.65
Ho 0.0000 0.5000 0.0000  8 Pr 3.61, 4 Ho 3.65
Ho 0.6667 0.6667 0.3335  8 Pr 3.61-3.62, 4 Ho 3.64-3.65
Ho 0.3326 0.8327 0.6653  8 Pr 3.60-3.63, 2 Ho 3.64, 2 Sm 3.65
Sm 0.0000 0.0000 0.0000  8 Pr 3.62-3.63, 4 Ho 3.65

---

Material: PrSm2Ho6
Method: DFT, PBE
State: optimized geometry

Formation energy   0.951 eV per formula unit
Calculated volume   32.47 Å³/atom
Relative energy among the computed polymorphs   0 meV per atom

Cell: 3.4875 9.7821 9.7821 Å, 63.54 79.80 79.80°
Last column: nearest neighbours and their distance in Å.
Sites, in units of the cell vectors:
Pr 0.0000 0.0000 0.0000  8 Ho 3.37-3.70, 2 Pr 3.49
Sm 0.8434 0.6578 0.6578  10 Ho 3.44-3.64, 2 Sm 3.49
Sm 0.1566 0.3422 0.3422  10 Ho 3.44-3.64, 2 Sm 3.49
Ho 0.8205 0.3456 0.0106  1 Pr 3.37, 7 Ho 3.37-3.72, 3 Sm 3.44-3.63
Ho 0.1795 0.9894 0.6544  1 Pr 3.37, 7 Ho 3.37-3.72, 3 Sm 3.44-3.63
Ho 0.1795 0.6544 0.9894  1 Pr 3.37, 7 Ho 3.37-3.72, 3 Sm 3.44-3.63
Ho 0.5000 0.3163 0.6837  7 Ho 3.49-3.78, 4 Sm 3.63-3.64, 2 Pr 3.70
Ho 0.8205 0.0106 0.3456  1 Pr 3.37, 7 Ho 3.37-3.72, 3 Sm 3.44-3.63
Ho 0.5000 0.6837 0.3163  7 Ho 3.49-3.78, 4 Sm 3.63-3.64, 2 Pr 3.70

---

Material: Pr2Sm3Ho3
Method: DFT, PBE
State: optimized geometry

Formation energy   1.058 eV per formula unit
Calculated volume   33.93 Å³/atom
Relative energy among the computed polymorphs   0 meV per atom

Cell: 5.6334 6.6207 16.0841 Å, 90.00 90.00 115.18°
Last column: nearest neighbours and their distance in Å.
Sites, in units of the cell vectors:
Pr 0.7807 0.5614 0.8725  4 Ho 3.31-3.49, 3 Sm 3.44-3.60
Pr 0.2193 0.4386 0.3725  4 Ho 3.31-3.49, 3 Sm 3.44-3.60
Pr 0.7807 0.5614 0.6275  4 Ho 3.31-3.49, 3 Sm 3.44-3.60
Pr 0.2193 0.4386 0.1275  4 Ho 3.31-3.49, 3 Sm 3.44-3.60
Sm 0.9225 0.8451 0.4068  2 Sm 3.38-3.53, 3 Pr 3.60-3.76, 5 Ho 3.67-3.73
Sm 0.0775 0.1549 0.9068  2 Sm 3.38-3.53, 3 Pr 3.60-3.76, 5 Ho 3.67-3.73
Sm 0.9225 0.8451 0.0932  2 Sm 3.38-3.53, 3 Pr 3.60-3.76, 5 Ho 3.67-3.73
Sm 0.0775 0.1549 0.5932  2 Sm 3.38-3.53, 3 Pr 3.60-3.76, 5 Ho 3.67-3.73
Sm 0.7351 0.4701 0.2500  3 Ho 3.30-3.51, 2 Sm 3.38, 4 Pr 3.44
Sm 0.2649 0.5299 0.7500  3 Ho 3.30-3.51, 2 Sm 3.38, 4 Pr 3.44
Ho 0.6177 0.2355 0.4497  1 Ho 3.25, 3 Pr 3.31-3.46, 1 Sm 3.51
Ho 0.3823 0.7645 0.9497  1 Ho 3.25, 3 Pr 3.31-3.46, 1 Sm 3.51
Ho 0.6177 0.2355 0.0503  1 Ho 3.25, 3 Pr 3.31-3.46, 1 Sm 3.51
Ho 0.3823 0.7645 0.5503  1 Ho 3.25, 3 Pr 3.31-3.46, 1 Sm 3.51
Ho 0.4593 0.9186 0.2500  1 Sm 3.30, 2 Pr 3.49
Ho 0.5407 0.0814 0.7500  1 Sm 3.30, 2 Pr 3.49

---

Material: Pr4Sm2Ho
Method: DFT, PBE
State: optimized geometry

Formation energy   2.998 eV per formula unit
Calculated volume   35.58 Å³/atom
Relative energy among the computed polymorphs   367 meV per atom

Cell: 6.0696 6.2207 7.2934 Å, 115.24 90.00 90.00°
Last column: nearest neighbours and their distance in Å.
Sites, in units of the cell vectors:
Pr 0.5000 0.6369 0.2738  3 Sm 3.13-3.34
Pr 0.0000 0.8096 0.6192  2 Sm 3.21, 2 Pr 3.49
Pr 0.5000 0.3631 0.7262  3 Sm 3.13-3.34
Pr 0.0000 0.1904 0.3808  2 Sm 3.21, 2 Pr 3.49
Sm 0.5000 0.1101 0.2201  1 Sm 2.90, 4 Pr 3.13-3.21
Sm 0.5000 0.8899 0.7799  1 Sm 2.90, 4 Pr 3.13-3.21
Ho 0.0000 0.5000 0.0000  4 Pr 3.53

---

Material: Pr4SmHo7
Method: DFT, PBE
State: optimized geometry

Formation energy   1.040 eV per formula unit
Calculated volume   33.22 Å³/atom
Relative energy among the computed polymorphs   0 meV per atom

Cell: 6.8837 6.6083 11.9375 Å, 75.21 49.42 81.39°
Last column: nearest neighbours and their distance in Å.
Sites, in units of the cell vectors:
Pr 0.5228 0.6395 0.2860  8 Ho 3.35-3.71, 1 Sm 3.42, 2 Pr 3.54-3.59
Pr 0.4772 0.3605 0.7140  8 Ho 3.35-3.71, 1 Sm 3.42, 2 Pr 3.54-3.59
Pr 0.6954 0.8328 0.6920  8 Ho 3.43-3.82, 2 Pr 3.54-3.59
Pr 0.3046 0.1672 0.3080  8 Ho 3.43-3.82, 2 Pr 3.54-3.59
Sm 0.0000 0.0000 0.0000  2 Pr 3.42, 4 Ho 3.44-3.51
Ho 0.8005 0.5124 0.9510  5 Ho 3.39-3.59, 4 Pr 3.41-3.70, 1 Sm 3.51
Ho 0.1995 0.4876 0.0490  5 Ho 3.39-3.59, 4 Pr 3.41-3.70, 1 Sm 3.51
Ho 0.0571 0.3201 0.6430  5 Ho 3.39-3.73, 4 Pr 3.48-3.56
Ho 0.9429 0.6799 0.3570  5 Ho 3.39-3.73, 4 Pr 3.48-3.56
Ho 0.2775 0.8142 0.6179  5 Ho 3.29-3.67, 4 Pr 3.35-3.60
Ho 0.5000 0.0000 0.0000  4 Pr 3.43-3.71, 2 Sm 3.44, 4 Ho 3.52-3.73
Ho 0.7225 0.1858 0.3821  5 Ho 3.29-3.67, 4 Pr 3.35-3.60